{
  "formula": "CoSnIrO6",
  "functional": "PBE with a Hubbard U",
  "state": "relaxed",
  "space_group": "No. 163",
  "rho_g_cm3": 7.41,
  "total_energy_ev_per_atom": -6.2509,
  "magnetic_moment_mub_per_cell": 3.332,
  "cell": [[5.269, 0.000, 0.000], [-2.634, 4.563, 0.000], [0.000, 0.000, 8.686]],
  "species": ["Co", "Co", "Sn", "Sn", "Ir", "Ir", "O", "O", "O", "O", "O", "O", "O", "O", "O", "O", "O", "O"],
  "fractional_positions": [[0.000, 0.000, 0.000], [0.000, 0.000, 0.500], [0.333, 0.667, 0.250], [0.667, 0.333, 0.750], [0.333, 0.667, 0.750], [0.667, 0.333, 0.250], [0.019, 0.357, 0.627], [0.019, 0.663, 0.873], [0.337, 0.357, 0.873], [0.337, 0.981, 0.627], [0.357, 0.019, 0.127], [0.357, 0.337, 0.373], [0.643, 0.663, 0.627], [0.643, 0.981, 0.873], [0.663, 0.019, 0.373], [0.663, 0.643, 0.127], [0.981, 0.337, 0.127], [0.981, 0.643, 0.373]]
}